*one*
Material: Tl2FeNi
Method: DFT, PBE-GGA
State: relaxed

For the total magnetization, the calculation gives 2.3 μB/f.u. The density of states at the Fermi level comes out at 8.49 states/eV per cell.

The space group is I-4m2 (No. 119) and the conventional cell measures 3.905, 3.905 and 9.563 Å, with angles of 90.00, 90.00 and 90.00 degrees. The asymmetric unit holds Tl at (0.000, 0.000, 0.000), Tl at (0.000, 0.500, 0.250), Fe at (0.000, 0.500, 0.750) and Ni at (0.000, 0.000, 0.500).



*two*
Material: Tl2FeNi
Method: DFT, PBE-GGA
State: relaxed

For the total magnetization, the calculation gives 2.7 μB/f.u. The density of states at the Fermi level comes out at 2.87 states/eV per cell.

The space group is P4/mmm (No. 123) and the conventional cell measures 3.195, 3.195 and 6.924 Å, with angles of 90.00, 90.00 and 90.00 degrees. The asymmetric unit holds Tl at (0.000, 0.000, 0.240), Fe at (0.500, 0.500, 0.500) and Ni at (0.500, 0.500, 0.000).



*three*
Material: Tl2FeNi
Method: DFT, PBE-GGA
State: relaxed

For the total magnetization, the calculation gives 3.0 μB/f.u. The density of states at the Fermi level comes out at 4.76 states/eV per cell.

The space group is Pm (No. 6) and the conventional cell measures 3.895, 3.951 and 5.379 Å, with angles of 90.00, 111.12 and 90.00 degrees. The asymmetric unit holds Tl at (0.000, 0.000, 0.000), Tl at (0.295, 0.500, 0.595), Fe at (0.581, 0.500, 0.165) and Ni at (0.713, 0.000, 0.426).



Energy ordering: *three* at the bottom, the next structure 77 meV per atom above.



*one*
Material: Tl2FeNi
Method: DFT, PBE-GGA
State: relaxed

For the total magnetization, the calculation gives 2.3 μB/f.u. The density of states at the Fermi level comes out at 8.44 states/eV per cell.

The space group is R-3m (No. 166, hexagonal axes) and the conventional cell measures 3.1822, 3.1822 and 25.1725 Å, with angles of 90.00, 90.00 and 120.00 degrees. The asymmetric unit holds Tl at (0.0000, 0.0000, 0.2468), Fe at (0.0000, 0.0000, 0.0000) and Ni at (0.0000, 0.0000, 0.5000).



*two*
Material: Tl2FeNi
Method: DFT, PBE-GGA
State: relaxed

For the total magnetization, the calculation gives 2.4 μB/f.u. The density of states at the Fermi level comes out at 21.63 states/eV per cell.

The space group is Fm-3m (No. 225) and the conventional cell measures 6.560, 6.560 and 6.560 Å, with angles of 90.00, 90.00 and 90.00 degrees. The asymmetric unit holds Tl at (0.250, 0.250, 0.250), Fe at (0.000, 0.000, 0.000) and Ni at (0.000, 0.000, 0.500).



Energy ordering: *two* at the bottom, the next structure 37 meV per atom above.